(1)
# Sm3PtRh2 (PBE-GGA, relaxed)
# Size of the total moment   0.0 μB/f.u.
# Relative energy among the computed polymorphs   0 meV per atom
# Uncorrected energy   -6.68 eV per atom
data_Sm3PtRh2
_chemical_formula_sum 'Sm6 Pt2 Rh4'
_space_group_name_H-M_alt 'P m m n'
_space_group_IT_number 59
_cell_length_a 4.992
_cell_length_b 14.934
_cell_length_c 3.516
_cell_angle_alpha 90.00
_cell_angle_beta 90.00
_cell_angle_gamma 90.00
loop_
_space_group_symop_operation_xyz
'x,y,z'
'-x,-y,-z'
'-x+1/2,-y+1/2,z'
'x+1/2,y+1/2,-z'
'x+1/2,-y,-z'
'-x+1/2,y,z'
'-x,y+1/2,-z'
'x,-y+1/2,z'
loop_
_atom_site_label
_atom_site_fract_x
_atom_site_fract_y
_atom_site_fract_z
Sm1 0.250 0.081 0.001
Sm2 0.250 0.750 0.998
Pt1 0.250 0.250 0.502
Rh1 0.250 0.582 0.499

***

(2)
# Sm2PtRh2 (PBE-GGA, relaxed)
# Size of the total moment   0.0 μB/f.u.
# Relative energy among the computed polymorphs   0 meV per atom
# Uncorrected energy   -6.87 eV per atom
data_Sm2PtRh2
_chemical_formula_sum 'Sm4 Pt2 Rh4'
_space_group_name_H-M_alt 'I m m m'
_space_group_IT_number 71
_space_group_name_Hall '-I 2 2'
_cell_length_a 4.566
_cell_length_b 5.550
_cell_length_c 8.219
_cell_angle_alpha 90.00
_cell_angle_beta 90.00
_cell_angle_gamma 90.00
loop_
_atom_site_label
_atom_site_fract_x
_atom_site_fract_y
_atom_site_fract_z
Sm1 0.000 0.000 0.203
Pt1 0.000 0.500 0.000
Rh1 0.000 0.259 0.500

***

(3)
# Sm12PtRh6 (PBE-GGA, relaxed)
# Size of the total moment   0.0 μB/f.u.
# Uncorrected energy   -6.21 eV per atom
data_Sm12PtRh6
_chemical_formula_sum 'Sm36 Pt3 Rh18'
_space_group_name_H-M_alt 'R -3'
_space_group_IT_number 148
_space_group_name_Hall '-R 3'
_cell_length_a 12.7921
_cell_length_b 12.7921
_cell_length_c 11.5600
_cell_angle_alpha 90.00
_cell_angle_beta 90.00
_cell_angle_gamma 120.00
loop_
_atom_site_label
_atom_site_fract_x
_atom_site_fract_y
_atom_site_fract_z
Sm1 0.0270 0.8141 0.3894
Sm2 0.0366 0.8278 0.8821
Pt1 0.0000 0.0000 0.0000
Rh1 0.0444 0.7817 0.6461

***

(4)
# Sm6PtRh5 (PBE-GGA, relaxed)
# Size of the total moment   0.0 μB/f.u.
# Uncorrected energy   -6.72 eV per atom
data_Sm6PtRh5
_chemical_formula_sum 'Sm6 Pt1 Rh5'
_space_group_name_H-M_alt 'P 1 2/m 1'
_space_group_IT_number 10
_cell_length_a 4.949
_cell_length_b 7.070
_cell_length_c 7.814
_cell_angle_alpha 90.00
_cell_angle_beta 108.27
_cell_angle_gamma 90.00
loop_
_space_group_symop_operation_xyz
'x,y,z'
'-x,-y,-z'
'-x,y,-z'
'x,-y,z'
loop_
_atom_site_label
_atom_site_fract_x
_atom_site_fract_y
_atom_site_fract_z
Sm1 0.000 0.248 0.000
Sm2 0.332 0.249 0.665
Pt1 0.500 0.500 0.000
Rh1 0.167 0.000 0.332
Rh2 0.170 0.500 0.338
Rh3 0.500 0.000 0.000

***

(5)
# Sm3Pt7Rh2 (PBE-GGA, relaxed)
# Size of the total moment   0.0 μB/f.u.
# Uncorrected energy   -6.78 eV per atom
data_Sm3Pt7Rh2
_chemical_formula_sum 'Sm9 Pt21 Rh6'
_space_group_name_H-M_alt 'R -3 m'
_space_group_IT_number 166
_space_group_name_Hall '-R 3 2"'
_cell_length_a 5.4250
_cell_length_b 5.4250
_cell_length_c 26.5466
_cell_angle_alpha 90.00
_cell_angle_beta 90.00
_cell_angle_gamma 120.00
loop_
_atom_site_label
_atom_site_fract_x
_atom_site_fract_y
_atom_site_fract_z
Sm1 0.0000 0.0000 0.0000
Sm2 0.0000 0.0000 0.1385
Pt1 0.0000 0.0000 0.5000
Pt2 0.0033 0.5017 0.9173
Rh1 0.0000 0.0000 0.3327

***

(6)
# Sm3PtRh2 (PBE-GGA, relaxed)
# Size of the total moment   0.0 μB/f.u.
# Relative energy among the computed polymorphs   5 meV per atom
# Uncorrected energy   -6.67 eV per atom
data_Sm3PtRh2
_chemical_formula_sum 'Sm3 Pt1 Rh2'
_space_group_name_H-M_alt 'P 4/m m m'
_space_group_IT_number 123
_space_group_name_Hall '-P 4 2'
_cell_length_a 3.549
_cell_length_b 3.549
_cell_length_c 10.400
_cell_angle_alpha 90.00
_cell_angle_beta 90.00
_cell_angle_gamma 90.00
loop_
_atom_site_label
_atom_site_fract_x
_atom_site_fract_y
_atom_site_fract_z
Sm1 0.000 0.000 0.000
Sm2 0.000 0.000 0.329
Pt1 0.500 0.500 0.500
Rh1 0.500 0.500 0.167

***

(7)
# Sm3PtRh (PBE-GGA, relaxed)
# Size of the total moment   0.0 μB/f.u.
# Relative energy among the computed polymorphs   123 meV per atom
# Uncorrected energy   -6.21 eV per atom
data_Sm3PtRh
_chemical_formula_sum 'Sm6 Pt2 Rh2'
_space_group_name_H-M_alt 'P 1 m 1'
_space_group_IT_number 6
_cell_length_a 8.538
_cell_length_b 3.942
_cell_length_c 8.551
_cell_angle_alpha 90.00
_cell_angle_beta 110.28
_cell_angle_gamma 90.00
loop_
_space_group_symop_operation_xyz
'x,y,z'
'x,-y,z'
loop_
_atom_site_label
_atom_site_fract_x
_atom_site_fract_y
_atom_site_fract_z
Sm1 0.000 0.000 0.000
Sm2 0.054 0.500 0.587
Sm3 0.291 0.500 0.348
Sm4 0.414 0.500 0.948
Sm5 0.652 0.500 0.709
Sm6 0.706 0.000 0.295
Pt1 0.353 0.000 0.648
Pt2 0.851 0.500 0.146
Rh1 0.353 0.000 0.148
Rh2 0.853 0.000 0.648

***

(8)
# Sm8Pt5Rh (PBE-GGA, relaxed)
# Size of the total moment   0.0 μB/f.u.
# Uncorrected energy   -6.35 eV per atom
data_Sm8Pt5Rh
_chemical_formula_sum 'Sm16 Pt10 Rh2'
_space_group_name_H-M_alt 'I -4'
_space_group_IT_number 82
_cell_length_a 8.879
_cell_length_b 8.879
_cell_length_c 8.929
_cell_angle_alpha 90.00
_cell_angle_beta 90.00
_cell_angle_gamma 90.00
loop_
_space_group_symop_operation_xyz
'x,y,z'
'y,-x,-z'
'-x,-y,z'
'-y,x,-z'
'x+1/2,y+1/2,z+1/2'
'y+1/2,-x+1/2,-z+1/2'
'-x+1/2,-y+1/2,z+1/2'
'-y+1/2,x+1/2,-z+1/2'
loop_
_atom_site_label
_atom_site_fract_x
_atom_site_fract_y
_atom_site_fract_z
Sm1 0.058 0.307 0.060
Sm2 0.063 0.188 0.686
Pt1 0.000 0.500 0.750
Pt2 0.125 0.249 0.373
Rh1 0.000 0.000 0.000

***

(9)
# Sm8Te4Pt3Rh (PBE-GGA, relaxed)
# Size of the total moment   0.0 μB/f.u.
# Formation energy without anion corrections   -1.209 eV per atom
# Uncorrected energy   -5.95 eV per atom
data_Sm8Te4Pt3Rh
_chemical_formula_sum 'Sm24 Te12 Pt9 Rh3'
_space_group_name_H-M_alt 'R -3 m'
_space_group_IT_number 166
_space_group_name_Hall '-R 3 2"'
_cell_length_a 8.4293
_cell_length_b 8.4293
_cell_length_c 22.3690
_cell_angle_alpha 90.00
_cell_angle_beta 90.00
_cell_angle_gamma 120.00
loop_
_atom_site_label
_atom_site_fract_x
_atom_site_fract_y
_atom_site_fract_z
Sm1 0.0000 0.0000 0.2374
Sm2 0.0052 0.5026 0.2372
Te1 0.0000 0.0000 0.0000
Te2 0.0000 0.5000 0.0000
Pt1 0.0000 0.5000 0.5000
Rh1 0.0000 0.0000 0.5000

***

(10)
# Sm2Zn2Pt5Rh (PBE-GGA, relaxed)
# Size of the total moment   0.0 μB/f.u.
# Uncorrected energy   -5.65 eV per atom
data_Sm2Zn2Pt5Rh
_chemical_formula_sum 'Sm4 Zn4 Pt10 Rh2'
_space_group_name_H-M_alt 'P 4/m b m'
_space_group_IT_number 127
_space_group_name_Hall '-P 4 2ab'
_cell_length_a 9.522
_cell_length_b 9.522
_cell_length_c 3.909
_cell_angle_alpha 90.00
_cell_angle_beta 90.00
_cell_angle_gamma 90.00
loop_
_atom_site_label
_atom_site_fract_x
_atom_site_fract_y
_atom_site_fract_z
Sm1 0.180 0.320 0.000
Zn1 0.119 0.619 0.000
Pt1 0.000 0.500 0.500
Pt2 0.064 0.796 0.500
Rh1 0.000 0.000 0.000

***

(11)
# Sm2Zn4Pt3Rh (PBE-GGA, relaxed)
# Size of the total moment   0.0 μB/f.u.
# Uncorrected energy   -4.72 eV per atom
data_Sm2Zn4Pt3Rh
_chemical_formula_sum 'Sm2 Zn4 Pt3 Rh1'
_space_group_name_H-M_alt 'P -4 m 2'
_space_group_IT_number 115
_cell_length_a 4.144
_cell_length_b 4.144
_cell_length_c 10.921
_cell_angle_alpha 90.00
_cell_angle_beta 90.00
_cell_angle_gamma 90.00
loop_
_space_group_symop_operation_xyz
'x,y,z'
'y,-x,-z'
'-x,-y,z'
'-y,x,-z'
'-x,y,z'
'-y,-x,-z'
'x,-y,z'
'y,x,-z'
loop_
_atom_site_label
_atom_site_fract_x
_atom_site_fract_y
_atom_site_fract_z
Sm1 0.000 0.500 0.237
Zn1 0.000 0.000 0.500
Zn2 0.000 0.500 0.869
Zn3 0.500 0.500 0.500
Pt1 0.000 0.000 0.000
Pt2 0.000 0.500 0.642
Rh1 0.500 0.500 0.000

***

(12)
# Sm2Zn3Pt12Rh (PBE-GGA, relaxed)
# Size of the total moment   0.0 μB/f.u.
# Uncorrected energy   -5.41 eV per atom
data_Sm2Zn3Pt12Rh
_chemical_formula_sum 'Sm6 Zn9 Pt36 Rh3'
_space_group_name_H-M_alt 'R -3 m'
_space_group_IT_number 166
_space_group_name_Hall '-R 3 2"'
_cell_length_a 6.9110
_cell_length_b 6.9110
_cell_length_c 25.3338
_cell_angle_alpha 90.00
_cell_angle_beta 90.00
_cell_angle_gamma 120.00
loop_
_atom_site_label
_atom_site_fract_x
_atom_site_fract_y
_atom_site_fract_z
Sm1 0.0000 0.0000 0.1530
Zn1 0.0000 0.5000 0.0000
Pt1 0.0130 0.5065 0.1023
Pt2 0.0692 0.5346 0.6192
Rh1 0.0000 0.0000 0.5000